Density functional theory data (PBE) for RbScV2Sn after structural relaxation.

Lattice parameters (Å, degrees): 4.7854 4.7854 4.9831 90.00 90.00 90.00
Space group P4/mmm (No. 123)
Symmetry-distinct sites (fractional):
Rb1 0.0000 0.0000 0.0000 [1 per cell]
Sc1 0.0000 0.0000 0.5000 [1 per cell]
V1 0.0000 0.5000 0.0000 [2 per cell]
Sn1 0.5000 0.5000 0.5000 [1 per cell]

Output
calculated density = 5.11 g cm⁻³
ΔH_f (0 K) = 2.00 eV/atom

Density functional theory data (PBE) for RbSr2Sc after structural relaxation.

Lattice parameters (Å, degrees): 9.1041 9.1041 9.1041 90.00 90.00 90.00
Space group Fm-3m (No. 225)
Symmetry-distinct sites (fractional):
Rb1 0.0000 0.0000 0.0000 [4 per cell]
Sr1 0.2500 0.2500 0.2500 [8 per cell]
Sc1 0.0000 0.0000 0.5000 [4 per cell]

Output
calculated density = 2.69 g cm⁻³
polymorph energy (0 for the lowest one) = 0 meV/atom
ΔH_f (0 K) = 0.47 eV/atom

Density functional theory data (PBE) for RbSrSc3 after structural relaxation.

Lattice parameters (Å, degrees): 5.4451 5.4451 5.4451 90.00 90.00 90.00
Space group Pm-3m (No. 221)
Symmetry-distinct sites (fractional):
Rb1 0.0000 0.0000 0.0000 [1 per cell]
Sr1 0.5000 0.5000 0.5000 [1 per cell]
Sc1 0.0000 0.0000 0.5000 [3 per cell]

Output
calculated density = 3.17 g cm⁻³
polymorph energy (0 for the lowest one) = 0 meV/atom
ΔH_f (0 K) = 1.16 eV/atom

Density functional theory data (PBE) for RbSr2Sc after structural relaxation.

Lattice parameters (Å, degrees): 5.5226 5.5226 27.1105 90.00 90.00 90.00
Space group I-42d (No. 122)
Symmetry-distinct sites (fractional):
Rb1 0.0000 0.0000 0.0000 [4 per cell]
Sr1 0.2350 0.2500 0.6250 [8 per cell]
Sc1 0.0000 0.0000 0.5000 [4 per cell]

Output
calculated density = 2.46 g cm⁻³
polymorph energy (0 for the lowest one) = 259 meV/atom
ΔH_f (0 K) = 0.73 eV/atom

Density functional theory data (PBE) for RbSc2Ta after structural relaxation.

Lattice parameters (Å, degrees): 3.2375 3.2375 35.0149 90.00 90.00 120.00
Space group R-3m (No. 166, hexagonal axes)
Symmetry-distinct sites (fractional):
Rb1 0.0000 0.0000 0.0000 [3 per cell]
Sc1 0.0000 0.0000 0.0997 [6 per cell]
Ta1 0.0000 0.0000 0.5000 [3 per cell]

Output
calculated density = 5.58 g cm⁻³
polymorph energy (0 for the lowest one) = 0 meV/atom
ΔH_f (0 K) = 0.53 eV/atom

Density functional theory data (PBE) for RbSc2Ta after structural relaxation.

Lattice parameters (Å, degrees): 7.4148 7.4148 7.4148 90.00 90.00 90.00
Space group Fm-3m (No. 225)
Symmetry-distinct sites (fractional):
Rb1 0.0000 0.0000 0.0000 [4 per cell]
Sc1 0.2500 0.2500 0.2500 [8 per cell]
Ta1 0.0000 0.0000 0.5000 [4 per cell]

Output
calculated density = 5.81 g cm⁻³
polymorph energy (0 for the lowest one) = 593 meV/atom
ΔH_f (0 K) = 1.12 eV/atom

Density functional theory data (PBE) for RbScTa2 after structural relaxation.

Lattice parameters (Å, degrees): 7.2568 7.2568 7.2568 90.00 90.00 90.00
Space group Fm-3m (No. 225)
Symmetry-distinct sites (fractional):
Rb1 0.0000 0.0000 0.0000 [4 per cell]
Sc1 0.0000 0.0000 0.5000 [4 per cell]
Ta1 0.2500 0.2500 0.2500 [8 per cell]

Output
calculated density = 8.56 g cm⁻³
polymorph energy (0 for the lowest one) = 260 meV/atom
ΔH_f (0 K) = 1.83 eV/atom

Density functional theory data (PBE) for RbScTa2 after structural relaxation.

Lattice parameters (Å, degrees): 4.1500 4.1500 21.9703 90.00 90.00 90.00
Space group I-42d (No. 122)
Symmetry-distinct sites (fractional):
Rb1 0.0000 0.0000 0.0000 [4 per cell]
Sc1 0.0000 0.0000 0.5000 [4 per cell]
Ta1 0.2277 0.7500 0.6250 [8 per cell]

Output
calculated density = 8.64 g cm⁻³
polymorph energy (0 for the lowest one) = 0 meV/atom
ΔH_f (0 K) = 1.57 eV/atom

Density functional theory data (PBE) for RbScTa3 after structural relaxation.

Lattice parameters (Å, degrees): 5.0593 5.0593 5.0593 90.00 90.00 90.00
Space group Pm-3m (No. 221)
Symmetry-distinct sites (fractional):
Rb1 0.0000 0.0000 0.0000 [1 per cell]
Sc1 0.5000 0.5000 0.5000 [1 per cell]
Ta1 0.0000 0.5000 0.5000 [3 per cell]

Output
calculated density = 8.63 g cm⁻³
polymorph energy (0 for the lowest one) = 0 meV/atom
ΔH_f (0 K) = 2.23 eV/atom

Density functional theory data (PBE) for RbScTa3 after structural relaxation.

Lattice parameters (Å, degrees): 4.8408 4.8408 4.8408 90.00 90.00 90.00
Space group Pm-3m (No. 221)
Symmetry-distinct sites (fractional):
Rb1 0.0000 0.0000 0.0000 [1 per cell]
Sc1 0.5000 0.5000 0.5000 [1 per cell]
Ta1 0.0000 0.0000 0.5000 [3 per cell]

Output
calculated density = 9.86 g cm⁻³
polymorph energy (0 for the lowest one) = 519 meV/atom
ΔH_f (0 K) = 2.75 eV/atom

Density functional theory data (PBE) for RbScTaTi2 after structural relaxation.

Lattice parameters (Å, degrees): 4.8474 4.8474 5.0979 90.00 90.00 90.00
Space group P4/mmm (No. 123)
Symmetry-distinct sites (fractional):
Rb1 0.0000 0.0000 0.0000 [1 per cell]
Sc1 0.0000 0.0000 0.5000 [1 per cell]
Ta1 0.5000 0.5000 0.0000 [1 per cell]
Ti1 0.0000 0.5000 0.5000 [2 per cell]

Output
calculated density = 5.64 g cm⁻³
ΔH_f (0 K) = 2.05 eV/atom

Density functional theory data (PBE) for RbTbScTe3 after structural relaxation.

Lattice parameters (Å, degrees): 9.9199 4.6072 10.8761 90.00 108.99 90.00
Space group P2_1/m (No. 11)
Symmetry-distinct sites (fractional):
Rb1 0.2082 0.2500 0.2349 [2 per cell]
Tb1 0.3378 0.7500 0.8660 [2 per cell]
Sc1 0.0850 0.2500 0.6078 [2 per cell]
Te1 0.1196 0.2500 0.8723 [2 per cell]
Te2 0.2169 0.7500 0.5468 [2 per cell]
Te3 0.4639 0.7500 0.1620 [2 per cell]

Output
VASP energy = -4.78 eV per atom
calculated density = 4.75 g cm⁻³

> Number 1 is which compound?

RbScV2Sn

> calculated density of number 2 (RbSr2Sc)?

2.69 g cm⁻³

> Number 8 is which compound?

RbScTa2